(1)
This record from Alexandria via LeMat-Bulk describes a geometry-optimized Tb2TmPt structure. The functional is PBE.

Summary:
V (Å³/f.u.): 109.1
Raw total energy (eV per atom): -5.660
SG: Pnma, No. 62
Formation energy (eV/atom): -0.7172

abc: 6.485 7.008 9.603
angles: 90.00 90.00 90.00
Positions (direct):
Tb 0.180 0.683 0.060
Tb 0.320 0.183 0.440
Tb 0.820 0.317 0.560
Tb 0.680 0.817 0.940
Tb 0.820 0.317 0.940
Tb 0.680 0.817 0.560
Tb 0.180 0.683 0.440
Tb 0.320 0.183 0.060
Tm 0.632 0.528 0.250
Tm 0.868 0.028 0.250
Tm 0.368 0.472 0.750
Tm 0.132 0.972 0.750
Pt 0.044 0.391 0.250
Pt 0.456 0.891 0.250
Pt 0.956 0.609 0.750
Pt 0.544 0.109 0.750



(2)
This record from Alexandria via LeMat-Bulk describes a geometry-optimized TbTm5Pt4 structure. The functional is PBE.

Summary:
V (Å³/f.u.): 263.1
Raw total energy (eV per atom): -6.147
SG: C2/m, No. 12
Formation energy (eV/atom): -1.0314

abc: 4.168 7.560 9.409
angles: 113.85 102.80 90.00
Positions (direct):
Tb 0.500 0.000 0.000
Tm 0.835 0.594 0.670
Tm 0.835 0.076 0.670
Tm 0.165 0.924 0.330
Tm 0.500 0.500 0.000
Tm 0.165 0.406 0.330
Pt 0.294 0.794 0.589
Pt 0.000 0.740 0.000
Pt 0.706 0.206 0.411
Pt 0.000 0.260 0.000



(3)
This record from Alexandria via LeMat-Bulk describes a geometry-optimized TbTm2Pt9 structure. The functional is PBE.

Summary:
V (Å³/f.u.): 207.3
Raw total energy (eV per atom): -6.728
SG: P4/mmm, No. 123
Formation energy (eV/atom): -1.0660

abc: 4.104 4.104 12.310
angles: 90.00 90.00 90.00
Positions (direct):
Tb 0.000 0.000 0.000
Tm 0.000 0.000 0.334
Tm 0.000 0.000 0.666
Pt 0.500 0.500 0.000
Pt 0.500 0.500 0.335
Pt 0.500 0.500 0.665
Pt 0.500 0.000 0.169
Pt 0.500 0.000 0.500
Pt 0.500 0.000 0.831
Pt 0.000 0.500 0.169
Pt 0.000 0.500 0.500
Pt 0.000 0.500 0.831



(4)
This record from Alexandria via LeMat-Bulk describes a geometry-optimized Tb2TmPt structure. The functional is PBE.

Summary:
V (Å³/f.u.): 106.9
Raw total energy (eV per atom): -5.507
SG: P4/mmm, No. 123
Formation energy (eV/atom): -0.5635

abc: 3.584 3.584 8.319
angles: 90.00 90.00 90.00
Positions (direct):
Tm 0.500 0.500 0.500
Tb 0.000 0.000 0.801
Tb 0.000 0.000 0.199
Pt 0.500 0.500 0.000